# BeAsRh2

Crystalline BeAsRh2 at its relaxed geometry (PBEsol, Alexandria via LeMat-Bulk).

## Properties
The calculation puts the calculated formation energy at -0.245 eV per atom. The calculation puts the raw total energy at -6.591 eV/atom.

a = 2.9071 Å, b = 2.9071 Å, c = 20.9973 Å
α = 90.00°, β = 90.00°, γ = 120.00°
Closest atoms and distances in Å follow each position.
Space group R-3m (No. 166, hexagonal axes)
Unique sites:
1 Be 0.0000 0.0000 0.0000  6 Rh 2.31
2 As 0.0000 0.0000 0.5000  6 Rh 2.54
3 Rh 0.0000 0.0000 0.2577  3 Be 2.31, 3 As 2.54

=====

# Sr2LaMn2O7

Crystalline Sr2LaMn2O7 at its relaxed geometry (PBEsol, Alexandria via LeMat-Bulk).

## Properties
The formation energy (no corrections) is -2.575 eV/atom. The relative energy among the computed polymorphs comes out at 20 meV per atom. The calculation puts the raw total energy at -8.016 eV/atom.

a = 3.8420 Å, b = 3.8420 Å, c = 19.8513 Å
α = 90.00°, β = 90.00°, γ = 90.00°
Closest atoms and distances in Å follow each position.
Space group I4mm (No. 107)
Unique sites:
1 Sr 0.0000 0.0000 0.0000  12 O 2.66-2.84
2 Sr 0.0000 0.0000 0.1766  9 O 2.46-2.74
3 La 0.0000 0.0000 0.8133  5 O 2.35-2.51
4 Mn 0.0000 0.0000 0.4008  6 O 1.87-1.99
5 Mn 0.0000 0.0000 0.5942  6 O 1.92-2.00
6 O 0.0000 0.0000 0.3004  1 Mn 1.99
7 O 0.0000 0.0000 0.4949  2 Mn 1.87-1.97
8 O 0.0000 0.0000 0.6949  1 Mn 2.00
9 O 0.0000 0.5000 0.0926  2 Mn 1.92
10 O 0.0000 0.5000 0.3948  2 Mn 1.92

=====

# YAlPCl2

Crystalline YAlPCl2 at its relaxed geometry (PBEsol, Alexandria via LeMat-Bulk).

## Properties
The formation energy (no corrections) is -0.679 eV/atom. The calculation puts the raw total energy at -4.824 eV/atom.

a = 5.0600 Å, b = 5.0600 Å, c = 5.5298 Å
α = 90.00°, β = 90.00°, γ = 90.00°
Closest atoms and distances in Å follow each position.
Space group P4/mmm (No. 123)
Unique sites:
1 Y 0.0000 0.0000 0.0000  4 Cl 2.53, 2 P 2.76
2 Al 0.5000 0.5000 0.5000  4 P 3.58, 8 Cl 3.75
3 P 0.0000 0.0000 0.5000  2 Y 2.76
4 Cl 0.0000 0.5000 0.0000  2 Y 2.53

=====

# Mg2TaCr

Crystalline Mg2TaCr at its relaxed geometry (PBEsol, Alexandria via LeMat-Bulk).

## Properties
The relative energy among the computed polymorphs comes out at 95 meV per atom. The calculation puts the calculated formation energy at 0.550 eV per atom. The calculation puts the raw total energy at -6.007 eV/atom.

a = 3.2413 Å, b = 4.3051 Å, c = 9.5085 Å
α = 90.00°, β = 90.00°, γ = 90.00°
Closest atoms and distances in Å follow each position.
Space group Cmmm (No. 65)
Unique sites:
1 Mg 0.0000 0.0000 0.2310  4 Mg 2.69, 2 Cr 2.73
2 Ta 0.0000 0.5000 0.5000  4 Ta 2.69
3 Cr 0.0000 0.5000 0.0000  4 Cr 2.69, 4 Mg 2.73

=====

# ScZnIn

Crystalline ScZnIn at its relaxed geometry (PBEsol, Alexandria via LeMat-Bulk).

## Properties
The calculation puts the calculated formation energy at -0.397 eV per atom. The calculation puts the raw total energy at -4.120 eV/atom.

a = 4.5305 Å, b = 4.5305 Å, c = 3.2466 Å
α = 90.00°, β = 90.00°, γ = 120.00°
Closest atoms and distances in Å follow each position.
Space group P-6m2 (No. 187)
Unique sites:
1 Sc 0.0000 0.0000 0.0000  6 In 3.08, 6 Zn 3.08, 2 Sc 3.25
2 Zn 0.3333 0.6667 0.5000  3 In 2.62
3 In 0.6667 0.3333 0.5000  3 Zn 2.62

=====

# ZrTa2Pt

Crystalline ZrTa2Pt at its relaxed geometry (PBEsol, Alexandria via LeMat-Bulk).

## Properties
The calculation puts the calculated formation energy at -0.311 eV per atom. The calculation puts the raw total energy at -10.599 eV/atom.

a = 3.7862 Å, b = 4.3539 Å, c = 8.6286 Å
α = 90.00°, β = 90.00°, γ = 90.00°
Closest atoms and distances in Å follow each position.
Space group Cmm2 (No. 35)
Unique sites:
1 Zr 0.0000 0.0000 0.0000  4 Pt 2.84-3.04, 4 Zr 2.88, 2 Ta 3.02
2 Ta 0.0000 0.0000 0.4708  4 Pt 2.71-2.92, 6 Ta 2.88-2.91
3 Ta 0.0000 0.5000 0.7269  8 Ta 2.88-3.10, 4 Zr 3.02-3.21
4 Pt 0.0000 0.5000 0.2456  4 Ta 2.71-2.92, 2 Zr 2.84, 4 Pt 2.88

=====

# SmB2C2

Crystalline SmB2C2 at its relaxed geometry (PBEsol, Alexandria via LeMat-Bulk).

## Properties
The calculation puts the calculated formation energy at -0.481 eV per atom. The calculation puts the raw total energy at -8.163 eV/atom.

a = 5.3602 Å, b = 5.3602 Å, c = 3.6457 Å
α = 90.00°, β = 90.00°, γ = 90.00°
Closest atoms and distances in Å follow each position.
Space group P4/mbm (No. 127)
Unique sites:
1 Sm 0.0000 0.0000 0.0000  8 C 2.71, 8 B 2.77
2 B 0.1369 0.3631 0.5000  3 C 1.53-1.61
3 C 0.1616 0.6616 0.5000  3 B 1.53-1.61

=====

# Sc4TlRe

Crystalline Sc4TlRe at its relaxed geometry (PBEsol, Alexandria via LeMat-Bulk).

## Properties
The calculation puts the calculated formation energy at 0.467 eV per atom. The calculation puts the raw total energy at -6.596 eV/atom.

a = 7.7596 Å, b = 7.7596 Å, c = 7.7596 Å
α = 90.00°, β = 90.00°, γ = 90.00°
Closest atoms and distances in Å follow each position.
Space group F-43m (No. 216)
Unique sites:
1 Sc 0.1223 0.1223 0.1223  6 Sc 2.68-2.80
2 Tl 0.0000 0.0000 0.5000  12 Sc 3.22, 4 Re 3.36
3 Re 0.2500 0.2500 0.7500  12 Sc 3.21, 4 Tl 3.36